No. 1
MnCr2Tc | meta-GGA SCAN | PBEsol geometry

abc: 2.5840 2.5840 8.3558
angles: 81.11 81.11 60.00
Closest atoms and distances in Å follow each position.
Positions (direct):
Cr1 0.7551 0.7551 0.7348  3 Mn 2.44, 6 Cr 2.58, 3 Tc 2.64
Cr2 0.2449 0.2449 0.2652  3 Mn 2.44, 6 Cr 2.58, 3 Tc 2.64
Mn1 0.5000 0.5000 0.5000  6 Cr 2.44, 6 Mn 2.58
Tc1 0.0000 0.0000 0.0000  6 Tc 2.58, 6 Cr 2.64

crystal system: trigonal
ΔE_f: 0.321 eV per atom
distance to the lowest polymorph of the same formula: 132 kJ/mol of formula units
calculated total energy: -22.20 eV per atom

---

No. 2
K3Rb5Te4H24S4O40 | meta-GGA SCAN | PBEsol geometry

abc: 6.5831 11.3653 13.3775
angles: 72.83 89.90 89.91
Closest atoms and distances in Å follow each position.
Positions (direct):
O1 0.2196 0.7586 0.7216  1 S 1.48, 1 H 1.60
S1 0.9931 0.2655 0.2457  4 O 1.48-1.50
O2 0.7244 0.7490 0.2833  1 S 1.48, 1 H 1.60
Rb1 0.5003 0.5992 0.6388  9 O 2.95-3.28, 3 H 3.24-3.29
O3 0.5080 0.1051 0.8304  1 S 1.50, 1 H 1.67
O4 0.0872 0.6456 0.5361  1 H 1.01
O5 0.9916 0.6053 0.8286  1 S 1.50, 2 H 1.67
O6 0.4463 0.6699 0.2023  1 S 1.48, 1 H 1.60
O7 0.8873 0.4286 0.6402  1 H 1.01
O8 0.6109 0.9303 0.6399  1 H 1.01
O9 0.8730 0.7401 0.6613  1 S 1.50, 1 H 1.65
Rb2 0.9986 0.0990 0.6395  9 O 2.97-3.28, 5 H 3.23-3.32
H1 0.2404 0.8630 0.6121  1 O 1.02
H2 0.0592 0.8617 0.8922  1 O 1.02
O10 0.7640 0.8964 0.0181  1 H 1.01
O11 0.3884 0.0707 0.3612  1 H 1.01
Rb3 0.4990 0.4014 0.3613  9 O 2.98-3.18, 4 H 3.28-3.31
O12 0.3726 0.7639 0.3380  1 S 1.50, 1 H 1.65
O13 0.0061 0.3904 0.1674  1 S 1.50, 1 H 1.67
S2 0.5104 0.7683 0.2477  4 O 1.48-1.50
K1 0.5190 0.8347 0.8643  9 O 2.80-3.12, 1 H 3.08
O14 0.2791 0.2568 0.7225  1 S 1.48, 1 H 1.59
H3 0.2112 0.6391 0.3629  1 O 1.01
H4 0.2588 0.3612 0.6132  1 O 1.02
Te1 0.0009 0.4994 0.5014  6 O 1.94
H5 0.5581 0.6374 0.1073  1 O 1.02
H6 0.3309 0.0948 0.9232  1 O 1.01
O15 0.7349 0.5691 0.4581  1 H 1.02
O16 0.2385 0.1069 0.9797  1 H 1.01
O17 0.4064 0.4128 0.1384  1 H 1.01
H7 0.6715 0.9062 0.0754  1 O 1.01
O18 0.6395 0.6184 0.0494  1 H 1.02
O19 0.9289 0.8242 0.8047  1 S 1.48, 1 H 1.61
H8 0.8271 0.4043 0.0750  1 O 1.01
O20 0.1475 0.8857 0.9452  1 H 1.02
H9 0.4897 0.8282 0.4179  1 O 1.01
O21 0.2329 0.9315 0.5431  1 H 1.02
O22 0.0684 0.1703 0.1991  1 S 1.48, 1 H 1.60
O23 0.3529 0.3819 0.9452  1 H 1.02
O24 0.2669 0.4298 0.5443  1 H 1.02
Rb4 0.0176 0.6612 0.1383  9 O 2.86-3.17, 2 H 3.08-3.21
O25 0.1159 0.5697 0.3628  1 H 1.01
O26 0.7358 0.3947 0.0174  1 H 1.01
O27 0.4118 0.1473 0.5347  1 H 1.01
O28 0.5910 0.5867 0.8575  1 H 1.01
O29 0.4930 0.8922 0.1681  1 S 1.50, 1 H 1.66
Te2 0.0011 0.0018 0.9993  6 O 1.94
O30 0.9083 0.0899 0.8594  1 H 1.01
H10 0.4408 0.3591 0.8910  1 O 1.02
H11 0.2469 0.9148 0.1411  1 O 1.01
H12 0.2911 0.1395 0.3610  1 O 1.01
S3 0.0048 0.7328 0.7541  4 O 1.48-1.50
H13 0.7443 0.5845 0.8560  1 O 1.01
Te3 0.4974 0.4995 0.9975  6 O 1.93-1.94
H14 0.9893 0.6735 0.5830  1 O 1.01
O31 0.7783 0.2413 0.2789  1 S 1.48, 1 H 1.60
H15 0.7581 0.1378 0.3889  1 O 1.02
H16 0.7086 0.8618 0.6397  1 O 1.01
O32 0.5861 0.8540 0.4664  1 H 1.01
O33 0.8551 0.1182 0.0531  1 H 1.02
H17 0.7898 0.3603 0.6396  1 O 1.01
K2 0.9803 0.3357 0.8634  9 O 2.80-3.11, 1 H 3.08
S4 0.4941 0.2316 0.7545  4 O 1.48-1.50
H18 0.5087 0.1740 0.5827  1 O 1.01
K3 0.4800 0.1643 0.1354  9 O 2.81-3.12, 1 H 3.08
H19 0.7441 0.6400 0.3908  1 O 1.02
H20 0.7550 0.0862 0.8579  1 O 1.01
H21 0.0105 0.3272 0.4173  1 O 1.01
Te4 0.4994 0.0007 0.5007  6 O 1.94
O34 0.0934 0.9154 0.1397  1 H 1.01
O35 0.1256 0.2623 0.3374  1 S 1.50, 1 H 1.65
O36 0.5701 0.3245 0.8033  1 S 1.48, 1 H 1.59
H22 0.9414 0.1383 0.1089  1 O 1.02
Rb5 0.0031 0.9042 0.3612  9 O 2.94-3.22, 2 H 3.22-3.28
O37 0.2599 0.6043 0.9770  1 H 1.01
O38 0.7658 0.0699 0.4583  1 H 1.02
O39 0.9143 0.3536 0.4659  1 H 1.01
H23 0.2530 0.4124 0.1401  1 O 1.01
H24 0.1673 0.5927 0.9206  1 O 1.01
O40 0.6256 0.2378 0.6615  1 S 1.50, 1 H 1.64

crystal system: triclinic
calculated total energy: -9.54 eV per atom